Computed, not measured: LaPm5Nd2Sc after structural relaxation at the GGA-PBE level of DFT.

## Properties
The calculation puts the spin magnetization at 0.0 μB per cell. The formation energy comes out at 151.8 meV/atom.

Cell: 5.7167 10.4876 10.6008 Å, 90.00 90.00 105.82°
With the nearest neighbours (Å) after each atom.
Sites, in units of the cell vectors:
La 0.5882 0.1764 0.9613  5 Pm 3.10-3.34
La 0.4118 0.8236 0.4613  5 Pm 3.10-3.34
Pm 0.3736 0.7473 0.0174  1 Sc 3.57, 4 Nd 3.60-3.67, 4 Pm 3.68-3.77
Pm 0.7230 0.4461 0.8214  1 La 3.10, 1 Nd 3.29, 2 Pm 3.43
Pm 0.4858 0.9716 0.7436  2 La 3.10-3.34
Pm 0.2942 0.5884 0.7040  3 Pm 3.43-3.69, 1 La 3.50, 3 Sc 3.51-3.81, 3 Nd 3.60-3.61
Pm 0.9841 0.9682 0.5182  2 La 3.27, 3 Nd 3.41-3.63, 1 Sc 3.65
Pm 0.6264 0.2527 0.5174  1 Sc 3.57, 4 Nd 3.60-3.67, 4 Pm 3.68-3.77
Pm 0.2770 0.5539 0.3214  1 La 3.10, 1 Nd 3.29, 2 Pm 3.43
Pm 0.5142 0.0284 0.2436  2 La 3.10-3.34
Pm 0.7058 0.4116 0.2040  3 Pm 3.43-3.69, 1 La 3.50, 3 Sc 3.51-3.81, 3 Nd 3.60-3.61
Pm 0.0159 0.0318 0.0182  2 La 3.27, 3 Nd 3.41-3.63, 1 Sc 3.65
Nd 0.8859 0.7719 0.8127  8 Pm 3.29-3.60, 1 Sc 3.60
Nd 0.1160 0.2320 0.7332  1 Sc 3.38, 7 Pm 3.50-3.70
Nd 0.1141 0.2281 0.3127  8 Pm 3.29-3.60, 1 Sc 3.60
Nd 0.8840 0.7680 0.2332  1 Sc 3.38, 7 Pm 3.50-3.70
Sc 0.8031 0.6062 0.5121  2 Nd 3.38-3.60, 7 Pm 3.51-3.66, 2 La 3.64
Sc 0.1969 0.3938 0.0121  2 Nd 3.38-3.60, 7 Pm 3.51-3.66, 2 La 3.64